DFT (PBE) results for PrTePO6 after structural relaxation.

The structure in POSCAR format:
```
PrTePO6
1.0
5.259 0.000 0.000
-2.630 4.555 0.000
0.000 0.000 10.093
Pr Te P O
2 2 2 12
direct
0.000 0.000 0.000
0.000 0.000 0.500
0.333 0.667 0.250
0.667 0.333 0.750
0.333 0.667 0.750
0.667 0.333 0.250
0.014 0.375 0.358
0.014 0.639 0.142
0.361 0.375 0.142
0.361 0.986 0.358
0.375 0.014 0.858
0.375 0.361 0.642
0.625 0.639 0.358
0.625 0.986 0.142
0.639 0.014 0.642
0.639 0.625 0.858
0.986 0.361 0.858
0.986 0.625 0.642
```

Computed properties:
Calculated total energy, eV per atom: -6.381
Total moment, Bohr magnetons per cell: 0.004